[1]
A plane-wave DFT calculation with GGA-PBEsol was carried out for a relaxed structure of ZrTcOs.

Lattice parameters (Å, degrees): 3.196 3.196 9.465 90.00 90.00 90.00
Fractional coordinates of all 6 atoms:
Zr1 0.000 0.000 0.000
Zr2 0.500 0.500 0.500
Tc1 0.000 0.000 0.333
Tc2 0.500 0.500 0.833
Os1 0.000 0.000 0.670
Os2 0.500 0.500 0.170

Values from the calculation:
The formation energy comes out at 0.020 eV/atom. As for the space-group type: No. 107.

[2]
A plane-wave DFT calculation with GGA-PBEsol was carried out for a relaxed structure of ZrTcOs2.

Lattice parameters (Å, degrees): 4.531 4.531 3.023 90.00 90.00 90.00
Fractional coordinates of all 4 atoms:
Zr1 0.000 0.000 0.000
Tc1 0.500 0.500 0.000
Os1 0.000 0.500 0.500
Os2 0.500 0.000 0.500

Values from the calculation:
The formation energy comes out at 0.091 eV/atom. As for the space-group type: No. 123.

[3]
A plane-wave DFT calculation with GGA-PBEsol was carried out for a relaxed structure of ZrTcOs2.

Lattice parameters (Å, degrees): 2.806 2.806 7.876 90.00 90.00 90.00
Fractional coordinates of all 4 atoms:
Zr1 0.000 0.000 0.000
Tc1 0.000 0.000 0.500
Os1 0.500 0.500 0.276
Os2 0.500 0.500 0.724

Values from the calculation:
The formation energy comes out at -0.010 eV/atom. As for the space-group type: No. 123.

[4]
A plane-wave DFT calculation with GGA-PBEsol was carried out for a relaxed structure of ZrTc2Os.

Lattice parameters (Å, degrees): 2.837 3.750 5.908 90.00 90.00 90.00
Fractional coordinates of all 4 atoms:
Zr1 0.000 0.000 0.000
Tc1 0.000 0.000 0.496
Tc2 0.500 0.500 0.716
Os1 0.500 0.500 0.279

Values from the calculation:
The formation energy comes out at 0.069 eV/atom. As for the space-group type: No. 25.

[5]
A plane-wave DFT calculation with GGA-PBEsol was carried out for a relaxed structure of ZrTcOs2.

Lattice parameters (Å, degrees): 3.962 3.962 7.872 90.00 90.00 90.00
Fractional coordinates of all 8 atoms:
Zr1 0.000 0.000 0.000
Zr2 0.500 0.500 0.500
Tc1 0.000 0.000 0.500
Tc2 0.500 0.500 0.000
Os1 0.000 0.500 0.250
Os2 0.000 0.500 0.750
Os3 0.500 0.000 0.250
Os4 0.500 0.000 0.750

Values from the calculation:
The formation energy comes out at 0.060 eV/atom. As for the space-group type: No. 139.

[6]
A plane-wave DFT calculation with GGA-PBEsol was carried out for a relaxed structure of Zr3TcOs.

Lattice parameters (Å, degrees): 4.908 4.908 4.908 90.00 90.00 90.00
Fractional coordinates of all 5 atoms:
Zr1 0.000 0.000 0.500
Zr2 0.000 0.500 0.000
Zr3 0.500 0.000 0.000
Tc1 0.500 0.500 0.500
Os1 0.000 0.000 0.000

Values from the calculation:
The formation energy comes out at 0.944 eV/atom. As for the space-group type: No. 221.

[7]
A plane-wave DFT calculation with GGA-PBEsol was carried out for a relaxed structure of TeOs.

Lattice parameters (Å, degrees): 3.168 3.168 3.537 90.00 90.00 90.00
Fractional coordinates of all 2 atoms:
Te1 0.000 0.000 0.000
Os1 0.500 0.500 0.500

Values from the calculation:
For the uncorrected formation energy, the calculation gives 0.9138 eV per atom. As for the space-group type: No. 123.

[8]
A plane-wave DFT calculation with GGA-PBEsol was carried out for a relaxed structure of TeOs3.

Lattice parameters (Å, degrees): 3.946 3.946 3.946 90.00 90.00 90.00
Fractional coordinates of all 4 atoms:
Te1 0.000 0.000 0.000
Os1 0.000 0.500 0.500
Os2 0.500 0.000 0.500
Os3 0.500 0.500 0.000

Values from the calculation:
For the uncorrected formation energy, the calculation gives 0.9195 eV per atom. As for the space-group type: No. 221.